[1]
Density functional theory data (GGA-PBEsol) for a relaxed structure of Tl2Te2Br.

Geometry as CIF:
```
data_Tl2Te2Br
_cell_length_a 4.338
_cell_length_b 4.338
_cell_length_c 17.412
_cell_angle_alpha 90.00
_cell_angle_beta 90.00
_cell_angle_gamma 90.00
_symmetry_space_group_name_H-M 'I 4/m m m'
_symmetry_Int_Tables_number 139
_symmetry_space_group_name_Hall '-I 4 2'
loop_
_atom_site_label
_atom_site_type_symbol
_atom_site_fract_x
_atom_site_fract_y
_atom_site_fract_z
Tl1 Tl 0.000 0.000 0.094
Te1 Te 0.000 0.500 0.250
Br1 Br 0.000 0.000 0.500
```

Uncorrected energy   -32.12 eV for the cell shown
Formation energy without anion corrections   -0.38 eV/atom
Calculated density   7540 kg/m³
M_tot   0.00 μB/f.u.



[2]
Density functional theory data (GGA-PBEsol) for a relaxed structure of TlTe2Br.

Geometry as CIF:
```
data_TlTe2Br
_cell_length_a 7.532
_cell_length_b 7.532
_cell_length_c 7.532
_cell_angle_alpha 90.00
_cell_angle_beta 90.00
_cell_angle_gamma 90.00
_symmetry_space_group_name_H-M 'F m -3 m'
_symmetry_Int_Tables_number 225
_symmetry_space_group_name_Hall '-F 4 2 3'
loop_
_atom_site_label
_atom_site_type_symbol
_atom_site_fract_x
_atom_site_fract_y
_atom_site_fract_z
Tl1 Tl 0.000 0.000 0.000
Te1 Te 0.250 0.250 0.250
Br1 Br 0.000 0.000 0.500
```

Energy relative to the lowest polymorph listed for this composition   0.416 eV/atom
Uncorrected energy   -43.24 eV for the cell shown
Formation energy without anion corrections   0.19 eV/atom
Calculated density   8386 kg/m³
M_tot   0.00 μB/f.u.



[3]
Density functional theory data (GGA-PBEsol) for a relaxed structure of Tl2TeBr6.

Geometry as CIF:
```
data_Tl2TeBr6
_cell_length_a 7.219
_cell_length_b 7.219
_cell_length_c 10.971
_cell_angle_alpha 90.00
_cell_angle_beta 90.00
_cell_angle_gamma 90.00
_symmetry_space_group_name_H-M 'P 4/m n c'
_symmetry_Int_Tables_number 128
_symmetry_space_group_name_Hall '-P 4 2n'
loop_
_atom_site_label
_atom_site_type_symbol
_atom_site_fract_x
_atom_site_fract_y
_atom_site_fract_z
Tl1 Tl 0.000 0.500 0.250
Te1 Te 0.000 0.000 0.000
Br1 Br 0.000 0.000 0.247
Br2 Br 0.186 0.297 0.500
```

Uncorrected energy   -50.21 eV for the cell shown
Formation energy without anion corrections   -0.57 eV/atom
Calculated density   5900 kg/m³
M_tot   0.00 μB/f.u.



[4]
Density functional theory data (GGA-PBEsol) for a relaxed structure of TlTe2Br.

Geometry as CIF:
```
data_TlTe2Br
_cell_length_a 4.069
_cell_length_b 4.466
_cell_length_c 13.835
_cell_angle_alpha 90.00
_cell_angle_beta 90.00
_cell_angle_gamma 90.00
_symmetry_space_group_name_H-M 'I m m m'
_symmetry_Int_Tables_number 71
_symmetry_space_group_name_Hall '-I 2 2'
loop_
_atom_site_label
_atom_site_type_symbol
_atom_site_fract_x
_atom_site_fract_y
_atom_site_fract_z
Tl1 Tl 0.000 0.000 0.000
Te1 Te 0.000 0.500 0.268
Br1 Br 0.000 0.000 0.500
```

Energy relative to the lowest polymorph listed for this composition   0.000 eV/atom
Uncorrected energy   -24.95 eV for the cell shown
Formation energy without anion corrections   -0.23 eV/atom
Calculated density   7126 kg/m³
M_tot   0.00 μB/f.u.



[5]
Density functional theory data (GGA-PBEsol) for a relaxed structure of TlTe2Br.

Geometry as CIF:
```
data_TlTe2Br
_cell_length_a 3.095
_cell_length_b 3.095
_cell_length_c 12.406
_cell_angle_alpha 90.00
_cell_angle_beta 90.00
_cell_angle_gamma 90.00
_symmetry_space_group_name_H-M 'P 4/m m m'
_symmetry_Int_Tables_number 123
_symmetry_space_group_name_Hall '-P 4 2'
loop_
_atom_site_label
_atom_site_type_symbol
_atom_site_fract_x
_atom_site_fract_y
_atom_site_fract_z
Tl1 Tl 0.000 0.000 0.000
Te1 Te 0.500 0.500 0.230
Br1 Br 0.000 0.000 0.500
```

Energy relative to the lowest polymorph listed for this composition   0.273 eV/atom
Uncorrected energy   -11.38 eV for the cell shown
Formation energy without anion corrections   0.04 eV/atom
Calculated density   7538 kg/m³
M_tot   0.00 μB/f.u.



[6]
Density functional theory data (GGA-PBEsol) for a relaxed structure of Tl5Te2Br.

Geometry as CIF:
```
data_Tl5Te2Br
_cell_length_a 8.880
_cell_length_b 8.880
_cell_length_c 12.746
_cell_angle_alpha 90.00
_cell_angle_beta 90.00
_cell_angle_gamma 90.00
_symmetry_space_group_name_H-M 'I 4/m c m'
_symmetry_Int_Tables_number 140
_symmetry_space_group_name_Hall '-I 4 2c'
loop_
_atom_site_label
_atom_site_type_symbol
_atom_site_fract_x
_atom_site_fract_y
_atom_site_fract_z
Tl1 Tl 0.000 0.000 0.000
Tl2 Tl 0.147 0.353 0.155
Te1 Te 0.155 0.345 0.500
Br1 Br 0.000 0.000 0.250
```

Uncorrected energy   -100.54 eV for the cell shown
Formation energy without anion corrections   -0.38 eV/atom
Calculated density   8968 kg/m³
M_tot   0.00 μB/f.u.



[7]
Density functional theory data (GGA-PBEsol) for a relaxed structure of Tl2ZnTeBr.

Geometry as CIF:
```
data_Tl2ZnTeBr
_cell_length_a 5.690
_cell_length_b 5.690
_cell_length_c 4.910
_cell_angle_alpha 90.00
_cell_angle_beta 90.00
_cell_angle_gamma 90.00
_symmetry_space_group_name_H-M 'P 4/m m m'
_symmetry_Int_Tables_number 123
_symmetry_space_group_name_Hall '-P 4 2'
loop_
_atom_site_label
_atom_site_type_symbol
_atom_site_fract_x
_atom_site_fract_y
_atom_site_fract_z
Tl1 Tl 0.000 0.500 0.000
Zn1 Zn 0.000 0.000 0.000
Te1 Te 0.000 0.000 0.500
Br1 Br 0.500 0.500 0.500
```

Uncorrected energy   -12.62 eV for the cell shown
Formation energy without anion corrections   -0.08 eV/atom
Calculated density   7120 kg/m³
M_tot   0.00 μB/f.u.



[8]
Density functional theory data (GGA-PBEsol) for a relaxed structure of TeW2Br.

Geometry as CIF:
```
data_TeW2Br
_cell_length_a 2.872
_cell_length_b 4.538
_cell_length_c 5.966
_cell_angle_alpha 90.00
_cell_angle_beta 98.62
_cell_angle_gamma 90.00
_symmetry_space_group_name_H-M 'P 1 2/m 1'
_symmetry_Int_Tables_number 10
loop_
_symmetry_equiv_pos_as_xyz
'x,y,z'
'-x,-y,-z'
'-x,y,-z'
'x,-y,z'
loop_
_atom_site_label
_atom_site_type_symbol
_atom_site_fract_x
_atom_site_fract_y
_atom_site_fract_z
Te1 Te 0.000 0.000 0.000
W1 W 0.302 0.500 0.283
Br1 Br 0.500 0.000 0.500
```

Energy relative to the lowest polymorph listed for this composition   0.618 eV/atom
Uncorrected energy   -28.32 eV for the cell shown
Formation energy without anion corrections   1.17 eV/atom
Calculated density   12427 kg/m³
M_tot   0.00 μB/f.u.



[9]
Density functional theory data (GGA-PBEsol) for a relaxed structure of TeW2Br.

Geometry as CIF:
```
data_TeW2Br
_cell_length_a 3.086
_cell_length_b 5.437
_cell_length_c 8.946
_cell_angle_alpha 90.00
_cell_angle_beta 90.00
_cell_angle_gamma 90.00
_symmetry_space_group_name_H-M 'C m m m'
_symmetry_Int_Tables_number 65
_symmetry_space_group_name_Hall '-C 2 2'
loop_
_atom_site_label
_atom_site_type_symbol
_atom_site_fract_x
_atom_site_fract_y
_atom_site_fract_z
Te1 Te 0.000 0.000 0.000
W1 W 0.000 0.500 0.246
Br1 Br 0.000 0.000 0.500
```

Energy relative to the lowest polymorph listed for this composition   0.728 eV/atom
Uncorrected energy   -55.75 eV for the cell shown
Formation energy without anion corrections   1.28 eV/atom
Calculated density   12728 kg/m³
M_tot   0.00 μB/f.u.



[10]
Density functional theory data (GGA-PBEsol) for a relaxed structure of TeW2Br.

Geometry as CIF:
```
data_TeW2Br
_cell_length_a 3.353
_cell_length_b 4.087
_cell_length_c 6.747
_cell_angle_alpha 90.00
_cell_angle_beta 95.23
_cell_angle_gamma 90.00
_symmetry_space_group_name_H-M 'P 1 m 1'
_symmetry_Int_Tables_number 6
loop_
_symmetry_equiv_pos_as_xyz
'x,y,z'
'x,-y,z'
loop_
_atom_site_label
_atom_site_type_symbol
_atom_site_fract_x
_atom_site_fract_y
_atom_site_fract_z
Te1 Te 0.000 0.000 0.000
W1 W 0.530 0.000 0.327
W2 W 0.976 0.500 0.274
Br1 Br 0.405 0.500 0.608
```

Energy relative to the lowest polymorph listed for this composition   0.000 eV/atom
Uncorrected energy   -30.79 eV for the cell shown
Formation energy without anion corrections   0.56 eV/atom
Calculated density   10372 kg/m³
M_tot   0.00 μB/f.u.



[11]
Density functional theory data (GGA-PBEsol) for a relaxed structure of TeWBr9.

Geometry as CIF:
```
data_TeWBr9
_cell_length_a 6.593
_cell_length_b 11.387
_cell_length_c 9.849
_cell_angle_alpha 90.00
_cell_angle_beta 102.49
_cell_angle_gamma 90.00
_symmetry_space_group_name_H-M 'P 1 21/m 1'
_symmetry_Int_Tables_number 11
loop_
_symmetry_equiv_pos_as_xyz
'x,y,z'
'-x,-y,-z'
'-x,y+1/2,-z'
'x,-y+1/2,z'
loop_
_atom_site_label
_atom_site_type_symbol
_atom_site_fract_x
_atom_site_fract_y
_atom_site_fract_z
Te1 Te 0.234 0.250 0.427
W1 W 0.368 0.250 0.823
Br1 Br 0.008 0.250 0.659
Br2 Br 0.027 0.085 0.288
Br3 Br 0.260 0.093 0.956
Br4 Br 0.276 0.750 0.048
Br5 Br 0.461 0.098 0.654
Br6 Br 0.469 0.750 0.699
```

Uncorrected energy   -76.56 eV for the cell shown
Formation energy without anion corrections   -0.37 eV/atom
Calculated density   4741 kg/m³
M_tot   1.02 μB/f.u.



[12]
Density functional theory data (GGA-PBEsol) for a relaxed structure of YTeBr2.

Geometry as CIF:
```
data_YTeBr2
_cell_length_a 3.405
_cell_length_b 3.405
_cell_length_c 9.320
_cell_angle_alpha 90.00
_cell_angle_beta 90.00
_cell_angle_gamma 90.00
_symmetry_space_group_name_H-M 'P 4/m m m'
_symmetry_Int_Tables_number 123
_symmetry_space_group_name_Hall '-P 4 2'
loop_
_atom_site_label
_atom_site_type_symbol
_atom_site_fract_x
_atom_site_fract_y
_atom_site_fract_z
Y1 Y 0.000 0.000 0.000
Te1 Te 0.000 0.000 0.500
Br1 Br 0.500 0.500 0.178
```

Energy relative to the lowest polymorph listed for this composition   0.000 eV/atom
Uncorrected energy   -18.46 eV for the cell shown
Formation energy without anion corrections   -1.09 eV/atom
Calculated density   5783 kg/m³
M_tot   0.00 μB/f.u.